Record 1
Below is CuClO at its PBEsol-relaxed geometry, with properties calculated at the SCAN level.

Calculated values
Calculated total energy   -10.285 eV per atom
Energy relative to the elements, uncorrected   -0.4826 eV/atom
Size of the total moment   0.0 Bohr magnetons per cell

```
CuClO
1.0
6.645 0.000 0.000
0.000 10.911 0.000
0.000 0.000 11.413
Cu Cl O
16 16 16
direct
0.477 0.497 0.012
0.523 0.503 0.512
0.977 0.003 0.512
0.023 0.997 0.012
0.979 0.476 0.988
0.021 0.524 0.488
0.479 0.024 0.488
0.521 0.976 0.988
0.698 0.211 0.961
0.302 0.789 0.461
0.198 0.289 0.461
0.802 0.711 0.961
0.304 0.263 0.035
0.696 0.737 0.535
0.804 0.237 0.535
0.196 0.763 0.035
0.330 0.535 0.789
0.670 0.465 0.289
0.830 0.965 0.289
0.170 0.035 0.789
0.839 0.331 0.212
0.161 0.669 0.712
0.339 0.169 0.712
0.661 0.831 0.212
0.419 0.656 0.129
0.581 0.344 0.629
0.919 0.844 0.629
0.081 0.156 0.129
0.940 0.312 0.876
0.060 0.688 0.376
0.440 0.188 0.376
0.560 0.812 0.876
0.724 0.547 0.956
0.276 0.453 0.456
0.224 0.953 0.456
0.776 0.047 0.956
0.224 0.425 0.048
0.776 0.575 0.548
0.724 0.075 0.548
0.276 0.925 0.048
0.515 0.338 0.957
0.485 0.662 0.457
0.015 0.162 0.457
0.985 0.838 0.957
0.015 0.636 0.036
0.985 0.364 0.536
0.515 0.864 0.536
0.485 0.136 0.036
```

Record 2
Below is CuPCl2O at its PBEsol-relaxed geometry, with properties calculated at the SCAN level.

Calculated values
Calculated total energy   -8.861 eV per atom
Energy relative to the elements, uncorrected   0.6958 eV/atom
Size of the total moment   0.6 Bohr magnetons per cell

```
CuPCl2O
1.0
4.513 0.000 0.000
0.000 4.513 0.000
0.000 0.000 4.512
P O Cu Cl
1 1 1 2
direct
0.000 0.000 0.500
0.500 0.500 0.500
0.000 0.000 0.000
0.000 0.500 0.000
0.500 0.000 0.000
```

Record 3
Below is CuPb2Cl2O2 at its PBEsol-relaxed geometry, with properties calculated at the SCAN level.

Calculated values
Calculated total energy   -28.946 eV per atom
Energy relative to the elements, uncorrected   -1.0633 eV/atom
Size of the total moment   0.0 Bohr magnetons per cell

```
CuPb2Cl2O2
1.0
3.946 0.000 0.000
0.000 3.946 0.000
-1.973 -1.973 7.929
Pb O Cu Cl
2 2 1 2
direct
0.392 0.392 0.785
0.608 0.608 0.215
0.000 0.500 0.000
0.500 0.000 0.000
0.000 0.000 0.000
0.820 0.820 0.639
0.180 0.180 0.361
```

Record 4
Below is Sr2Cu2RuPb2ClO8 at its PBEsol-relaxed geometry, with properties calculated at the SCAN level.

Calculated values
Calculated total energy   -21.562 eV per atom
Energy relative to the elements, uncorrected   -1.6140 eV/atom
Size of the total moment   2.8 Bohr magnetons per cell

```
Sr2Cu2RuPb2ClO8
1.0
-2.522 -2.911 -0.258
2.558 -2.366 1.663
-5.516 3.577 13.575
Sr Cu Ru Pb Cl O
2 2 1 2 1 8
direct
0.492 0.492 0.643
0.492 0.492 0.357
0.994 0.994 0.768
0.994 0.994 0.232
0.986 0.986 0.500
0.495 0.495 0.878
0.495 0.495 0.122
0.994 0.994 0.000
0.994 0.495 0.780
0.495 0.994 0.780
0.994 0.495 0.220
0.495 0.994 0.220
0.009 0.009 0.627
0.009 0.009 0.373
0.984 0.491 0.500
0.491 0.984 0.500
```

Record 5
Below is Cu2PbSe2Cl2O6 at its PBEsol-relaxed geometry, with properties calculated at the SCAN level.

Calculated values
Calculated total energy   -16.308 eV per atom
Energy relative to the elements, uncorrected   -0.9477 eV/atom
Size of the total moment   0.0 Bohr magnetons per cell

```
Cu2PbSe2Cl2O6
1.0
6.854 -0.024 0.017
0.107 8.041 -0.030
-0.107 -2.400 7.674
Cu Pb Se Cl O
4 2 4 4 12
direct
0.250 0.111 0.111
0.750 0.889 0.889
0.000 0.000 0.500
0.500 0.500 0.000
0.750 0.345 0.345
0.250 0.655 0.655
0.915 0.268 0.929
0.585 0.929 0.268
0.085 0.732 0.071
0.415 0.071 0.732
0.885 0.726 0.470
0.615 0.470 0.726
0.115 0.274 0.530
0.385 0.530 0.274
0.992 0.199 0.105
0.508 0.105 0.199
0.008 0.801 0.895
0.492 0.895 0.801
0.782 0.054 0.378
0.718 0.378 0.054
0.218 0.946 0.622
0.282 0.622 0.946
0.818 0.079 0.793
0.682 0.793 0.079
0.182 0.921 0.207
0.318 0.207 0.921
```

Record 6
Below is V2Cu3PbCl2O8 at its PBEsol-relaxed geometry, with properties calculated at the SCAN level.

Calculated values
Calculated total energy   -15.541 eV per atom
Energy relative to the elements, uncorrected   -1.6559 eV/atom
Size of the total moment   6.0 Bohr magnetons per cell

```
V2Cu3PbCl2O8
1.0
8.441 -0.020 -0.560
-3.364 7.742 0.560
-3.306 -3.356 7.026
V Cu Pb Cl O
4 6 2 4 16
direct
0.250 0.454 0.204
0.750 0.954 0.204
0.750 0.546 0.796
0.250 0.046 0.796
0.000 0.000 0.000
0.750 0.171 0.921
0.250 0.829 0.079
0.250 0.329 0.578
0.500 0.500 0.000
0.750 0.671 0.422
0.250 0.750 0.500
0.750 0.250 0.500
0.685 0.914 0.598
0.815 0.414 0.229
0.315 0.086 0.402
0.185 0.586 0.771
0.459 0.045 0.817
0.035 0.242 0.010
0.768 0.975 0.010
0.541 0.955 0.183
0.041 0.858 0.586
0.965 0.758 0.990
0.227 0.642 0.183
0.732 0.742 0.207
0.727 0.545 0.586
0.535 0.525 0.793
0.959 0.142 0.414
0.273 0.455 0.414
0.465 0.475 0.207
0.773 0.358 0.817
0.232 0.025 0.990
0.268 0.258 0.793
```